Record 1
Density functional theory data (PBE-GGA) for a relaxed structure of Fe2C.

Cell: 6.1362 2.5869 6.5738 Å, 90.00 90.00 90.00°
Positions (direct):
Fe1 0.0080 0.2500 0.1799
Fe2 0.1762 0.2500 0.5240
Fe3 0.3238 0.7500 0.0240
Fe4 0.4920 0.7500 0.6799
Fe5 0.5080 0.2500 0.3201
Fe6 0.6762 0.2500 0.9760
Fe7 0.8238 0.7500 0.4760
Fe8 0.9920 0.7500 0.8201
C1 0.2290 0.7500 0.3105
C2 0.2710 0.2500 0.8105
C3 0.7290 0.7500 0.1895
C4 0.7710 0.2500 0.6895

## Properties
Its crystal system is orthorhombic. The volume comes out at 104.4 Å³/cell.

Record 2
Density functional theory data (PBE-GGA) for a relaxed structure of FeC2.

Cell: 4.6907 4.6907 2.4896 Å, 90.00 90.00 90.00°
Positions (direct):
Fe1 0.0000 0.0000 0.0000
Fe2 0.5000 0.5000 0.5000
C1 0.2146 0.2146 0.5000
C2 0.2854 0.7146 0.0000
C3 0.7146 0.2854 0.0000
C4 0.7854 0.7854 0.5000

## Properties
Its crystal system is tetragonal. The excess energy over the best structure of this formula in the dataset comes out at 0.000 eV per atom. The volume comes out at 54.8 Å³/cell.

Record 3
Density functional theory data (PBE-GGA) for a relaxed structure of Fe12C.

Cell: 5.0330 3.9887 7.2708 Å, 90.00 93.65 90.00°
Positions (direct):
Fe1 0.0000 0.0000 0.0000
Fe2 0.0000 0.5000 0.5000
Fe3 0.1511 0.0000 0.3397
Fe4 0.1843 0.5000 0.8306
Fe5 0.2918 0.5000 0.1953
Fe6 0.3433 0.0000 0.6634
Fe7 0.5000 0.0000 0.0000
Fe8 0.5000 0.5000 0.5000
Fe9 0.6567 0.0000 0.3366
Fe10 0.7082 0.5000 0.8047
Fe11 0.8157 0.5000 0.1694
Fe12 0.8489 0.0000 0.6603
C1 0.5000 0.5000 0.0000

## Properties
Its crystal system is monoclinic. The excess energy over the best structure of this formula in the dataset comes out at 0.000 eV per atom. The volume comes out at 145.7 Å³/cell.

Record 4
Density functional theory data (PBE-GGA) for a relaxed structure of Fe7C3.

Cell: 6.8148 6.8148 4.4894 Å, 90.00 90.00 120.00°
Positions (direct):
Fe1 0.0911 0.5455 0.0000
Fe2 0.1225 0.2450 0.6741
Fe3 0.1225 0.8775 0.6741
Fe4 0.2450 0.1225 0.1741
Fe5 0.3333 0.6667 0.4941
Fe6 0.4545 0.5455 0.0000
Fe7 0.4545 0.9089 0.0000
Fe8 0.5455 0.0911 0.5000
Fe9 0.5455 0.4545 0.5000
Fe10 0.6667 0.3333 0.9941
Fe11 0.7550 0.8775 0.6741
Fe12 0.8775 0.1225 0.1741
Fe13 0.8775 0.7550 0.1741
Fe14 0.9089 0.4545 0.5000
C1 0.1866 0.3732 0.2799
C2 0.1866 0.8134 0.2799
C3 0.3732 0.1866 0.7799
C4 0.6268 0.8134 0.2799
C5 0.8134 0.1866 0.7799
C6 0.8134 0.6268 0.7799

## Properties
Its crystal system is hexagonal. The excess energy over the best structure of this formula in the dataset comes out at 0.017 eV per atom. The volume comes out at 180.6 Å³/cell.

Record 5
Density functional theory data (PBE-GGA) for a relaxed structure of Lu4GaFeC2.

Cell: 3.4550 3.4550 14.5906 Å, 90.00 90.00 120.00°
Positions (direct):
Lu1 0.0000 0.0000 0.1502
Lu2 0.0000 0.0000 0.8498
Lu3 0.3333 0.6667 0.3316
Lu4 0.3333 0.6667 0.6684
Ga1 0.0000 0.0000 0.5000
Fe1 0.3333 0.6667 0.0000
C1 0.6667 0.3333 0.2405
C2 0.6667 0.3333 0.7595

## Properties
Its crystal system is hexagonal. The volume comes out at 150.8 Å³/cell.

Record 6
Density functional theory data (PBE-GGA) for a relaxed structure of GaFeMoC.

Cell: 2.9805 2.9805 12.5975 Å, 90.00 90.00 120.00°
Positions (direct):
Ga1 0.3333 0.6667 0.2702
Ga2 0.6667 0.3333 0.7298
Fe1 0.3333 0.6667 0.5733
Fe2 0.6667 0.3333 0.4267
Mo1 0.3333 0.6667 0.9023
Mo2 0.6667 0.3333 0.0977
C1 0.0000 0.0000 0.0000
C2 0.0000 0.0000 0.5000

## Properties
Its crystal system is trigonal. The volume comes out at 96.9 Å³/cell.

Record 7
Density functional theory data (PBE-GGA) for a relaxed structure of GaFeMo4C2.

Cell: 3.0361 3.0361 13.1710 Å, 90.00 90.00 120.00°
Positions (direct):
Ga1 0.0000 0.0000 0.0000
Fe1 0.6667 0.3333 0.5000
Mo1 0.0000 0.0000 0.3444
Mo2 0.0000 0.0000 0.6556
Mo3 0.6667 0.3333 0.1656
Mo4 0.6667 0.3333 0.8344
C1 0.3333 0.6667 0.2550
C2 0.3333 0.6667 0.7450

## Properties
Its crystal system is hexagonal. The volume comes out at 105.1 Å³/cell.

Record 8
Density functional theory data (PBE-GGA) for a relaxed structure of Nb4GaFeC2.

Cell: 3.1142 3.1142 13.4369 Å, 90.00 90.00 120.00°
Positions (direct):
Nb1 0.0000 0.0000 0.1474
Nb2 0.0000 0.0000 0.8526
Nb3 0.6667 0.3333 0.3356
Nb4 0.6667 0.3333 0.6644
Ga1 0.0000 0.0000 0.5000
Fe1 0.6667 0.3333 0.0000
C1 0.3333 0.6667 0.2418
C2 0.3333 0.6667 0.7582

## Properties
Its crystal system is hexagonal. The volume comes out at 112.9 Å³/cell.

Record 9
Density functional theory data (PBE-GGA) for a relaxed structure of Sc4GaFeC2.

Cell: 3.2729 3.2729 14.2003 Å, 90.00 90.00 120.00°
Positions (direct):
Sc1 0.0000 0.0000 0.1534
Sc2 0.0000 0.0000 0.8466
Sc3 0.3333 0.6667 0.3297
Sc4 0.3333 0.6667 0.6703
Ga1 0.0000 0.0000 0.5000
Fe1 0.3333 0.6667 0.0000
C1 0.6667 0.3333 0.2414
C2 0.6667 0.3333 0.7586

## Properties
Its crystal system is hexagonal. The volume comes out at 131.7 Å³/cell.

Record 10
Density functional theory data (PBE-GGA) for a relaxed structure of Ta4GaFeC2.

Cell: 3.0899 3.0899 13.4114 Å, 90.00 90.00 120.00°
Positions (direct):
Ta1 0.0000 0.0000 0.1468
Ta2 0.0000 0.0000 0.8532
Ta3 0.3333 0.6667 0.3363
Ta4 0.3333 0.6667 0.6637
Ga1 0.0000 0.0000 0.5000
Fe1 0.3333 0.6667 0.0000
C1 0.6667 0.3333 0.2419
C2 0.6667 0.3333 0.7581

## Properties
Its crystal system is hexagonal. The volume comes out at 110.9 Å³/cell.

Record 11
Density functional theory data (PBE-GGA) for a relaxed structure of Zr4GaFeC2.

Cell: 3.3121 3.3121 13.8330 Å, 90.00 90.00 120.00°
Positions (direct):
Zr1 0.0000 0.0000 0.1430
Zr2 0.0000 0.0000 0.8570
Zr3 0.3333 0.6667 0.3320
Zr4 0.3333 0.6667 0.6680
Ga1 0.0000 0.0000 0.5000
Fe1 0.3333 0.6667 0.0000
C1 0.6667 0.3333 0.2426
C2 0.6667 0.3333 0.7574

## Properties
Its crystal system is hexagonal. The volume comes out at 131.4 Å³/cell.

Record 12
Density functional theory data (PBE-GGA) for a relaxed structure of Gd2Fe17C3.

Cell: 6.4948 6.4948 6.4948 Å, 83.33 83.33 83.33°
Positions (direct):
Gd1 0.1565 0.1565 0.1565
Gd2 0.8435 0.8435 0.8435
Fe1 0.0000 0.5000 0.5000
Fe2 0.1572 0.1572 0.6437
Fe3 0.1572 0.6437 0.1572
Fe4 0.2165 0.5000 0.7835
Fe5 0.2165 0.7835 0.5000
Fe6 0.3563 0.8428 0.8428
Fe7 0.4049 0.4049 0.4049
Fe8 0.5000 0.0000 0.5000
Fe9 0.5000 0.2165 0.7835
Fe10 0.5000 0.5000 0.0000
Fe11 0.5000 0.7835 0.2165
Fe12 0.5951 0.5951 0.5951
Fe13 0.6437 0.1572 0.1572
Fe14 0.7835 0.2165 0.5000
Fe15 0.7835 0.5000 0.2165
Fe16 0.8428 0.3563 0.8428
Fe17 0.8428 0.8428 0.3563
C1 0.0000 0.0000 0.5000
C2 0.0000 0.5000 0.0000
C3 0.5000 0.0000 0.0000

## Properties
Its crystal system is trigonal. The volume comes out at 268.8 Å³/cell.

Record 13
Density functional theory data (PBE-GGA) for a relaxed structure of GdFe2C6.

Cell: 5.6390 5.6390 5.6390 Å, 146.57 122.13 68.50°
Positions (direct):
Gd1 0.0000 0.0000 0.0000
Fe1 0.2729 0.7729 0.5000
Fe2 0.7271 0.2271 0.5000
C1 0.1298 0.3557 0.7741
C2 0.3635 0.5000 0.8635
C3 0.4185 0.6443 0.7741
C4 0.5815 0.3557 0.2259
C5 0.6365 0.5000 0.1365
C6 0.8702 0.6443 0.2259

## Properties
Its crystal system is orthorhombic. The volume comes out at 82.5 Å³/cell.

Record 14
Density functional theory data (PBE-GGA) for a relaxed structure of Gd2Fe2C3.

Cell: 5.2397 5.2397 5.5798 Å, 104.03 104.03 38.43°
Positions (direct):
Gd1 0.1068 0.1068 0.3147
Gd2 0.8932 0.8932 0.6853
Fe1 0.3403 0.3403 0.0994
Fe2 0.6597 0.6597 0.9006
C1 0.2055 0.2055 0.7753
C2 0.5000 0.5000 0.0000
C3 0.7945 0.7945 0.2247

## Properties
Its crystal system is monoclinic. The volume comes out at 92.0 Å³/cell.

Record 15
Density functional theory data (PBE-GGA) for a relaxed structure of Gd2FeC4.

Cell: 6.6515 6.6515 6.6515 Å, 111.44 85.76 135.11°
Positions (direct):
Gd1 0.1446 0.1581 0.3027
Gd2 0.3554 0.6581 0.0135
Gd3 0.6446 0.3419 0.9865
Gd4 0.8554 0.8419 0.6973
Fe1 0.2500 0.7500 0.5000
Fe2 0.7500 0.2500 0.5000
C1 0.0779 0.6637 0.7415
C2 0.1272 0.8354 0.9626
C3 0.3728 0.3354 0.7081
C4 0.4221 0.1637 0.5858
C5 0.5779 0.8363 0.4142
C6 0.6272 0.6646 0.2919
C7 0.8728 0.1646 0.0374
C8 0.9221 0.3363 0.2585

## Properties
Its crystal system is orthorhombic. The volume comes out at 185.5 Å³/cell.

Record 16
Density functional theory data (PBE-GGA) for a relaxed structure of GdHoFe2Ge2C.

Cell: 5.7165 5.7165 6.8437 Å, 125.92 125.92 40.74°
Positions (direct):
Gd1 0.0000 0.0000 0.0000
Ho1 0.1152 0.1152 0.5784
Fe1 0.3632 0.3632 0.2025
Fe2 0.7544 0.7544 0.3806
Ge1 0.3947 0.3947 0.5791
Ge2 0.7216 0.7216 0.0012
C1 0.5595 0.5595 0.2942

## Properties
Its crystal system is monoclinic. The volume comes out at 113.8 Å³/cell.

Record 17
Density functional theory data (PBE-GGA) for a relaxed structure of LaGdFe2Ge2C.

Cell: 5.8358 5.8358 7.0617 Å, 126.25 126.25 40.71°
Positions (direct):
La1 0.0000 0.0000 0.0000
Gd1 0.8869 0.8869 0.4180
Fe1 0.2480 0.2480 0.6173
Fe2 0.6322 0.6322 0.7868
Ge1 0.2703 0.2703 0.9785
Ge2 0.6124 0.6124 0.4326
C1 0.4372 0.4372 0.6912

## Properties
Its crystal system is monoclinic. The volume comes out at 121.7 Å³/cell.

Record 18
Density functional theory data (PBE-GGA) for a relaxed structure of GdLuFe2Ge2C.

Cell: 5.6833 5.6833 6.7862 Å, 125.87 125.87 40.72°
Positions (direct):
Gd1 0.0000 0.0000 0.0000
Lu1 0.1149 0.1149 0.5769
Fe1 0.3641 0.3641 0.2036
Fe2 0.7561 0.7561 0.3830
Ge1 0.3964 0.3964 0.5824
Ge2 0.7208 0.7208 0.9983
C1 0.5614 0.5614 0.2986

## Properties
Its crystal system is monoclinic. The volume comes out at 111.6 Å³/cell.

Record 19
Density functional theory data (PBE-GGA) for a relaxed structure of GdScFe2Ge2C.

Cell: 5.6271 5.6271 6.6980 Å, 125.51 125.51 40.73°
Positions (direct):
Gd1 0.0000 0.0000 0.0000
Sc1 0.1132 0.1132 0.5709
Fe1 0.3630 0.3630 0.2018
Fe2 0.7577 0.7577 0.3830
Ge1 0.3978 0.3978 0.5838
Ge2 0.7182 0.7182 0.9901
C1 0.5634 0.5634 0.3045

## Properties
Its crystal system is monoclinic. The volume comes out at 108.6 Å³/cell.

Record 20
Density functional theory data (PBE-GGA) for a relaxed structure of TbGdFe2Ge2C.

Cell: 5.7196 5.7196 6.8554 Å, 125.77 125.77 40.80°
Positions (direct):
Tb1 0.0000 0.0000 0.0000
Gd1 0.1143 0.1143 0.5792
Fe1 0.3612 0.3612 0.1996
Fe2 0.7522 0.7522 0.3778
Ge1 0.3922 0.3922 0.5761
Ge2 0.7217 0.7217 0.0023
C1 0.5564 0.5564 0.2876

## Properties
Its crystal system is monoclinic. The volume comes out at 114.6 Å³/cell.

Number 1: uncorrected energy -101.32 eV per cell. Number 2: uncorrected energy -45.07 eV per cell. Number 3: uncorrected energy -108.54 eV per cell. Number 4: uncorrected energy -170.19 eV per cell. Number 5: uncorrected energy -49.42 eV per cell. Number 6: uncorrected energy -63.29 eV per cell. Number 7: uncorrected energy -72.93 eV per cell. Number 8: uncorrected energy -72.88 eV per cell. Number 9: uncorrected energy -57.45 eV per cell. Number 10: uncorrected energy -80.38 eV per cell. Number 11: uncorrected energy -67.86 eV per cell. Number 12: uncorrected energy -179.81 eV per cell. Number 13: uncorrected energy -71.04 eV per cell. Number 14: uncorrected energy -55.25 eV per cell. Number 15: uncorrected energy -112.77 eV per cell. Number 16: uncorrected energy -48.58 eV per cell. Number 17: uncorrected energy -48.62 eV per cell. Number 18: uncorrected energy -48.44 eV per cell. Number 19: uncorrected energy -50.05 eV per cell. Number 20: uncorrected energy -48.63 eV per cell.